Record 1
Entry from the Alexandria database: an optimized crystal structure of MgAlAu (PBE).

Values from the calculation:
- Volume: 109 Å³/cell
- Mass density: 7.56 Mg/m³
- D(E_F): 1.7 states/eV per cell
- ΔE_f: -380 meV per atom
- Symmetry: Pmm2, No. 25
- Raw total energy: -3.25 eV/atom

a = 3.3614 Å, b = 4.3439 Å, c = 7.4691 Å
α = 90.00°, β = 90.00°, γ = 90.00°
Element x y z (fractional)
Mg 0.0000 0.0000 0.0000
Mg 0.0000 0.5000 0.4215
Al 0.5000 0.0000 0.3384
Al 0.5000 0.5000 0.7703
Au 0.0000 0.0000 0.6361
Au 0.5000 0.5000 0.1235



Record 2
Entry from the Alexandria database: an optimized crystal structure of MgAlAu3 (PBE).

Values from the calculation:
- Volume: 351 Å³/cell
- Mass density: 12.16 Mg/m³
- D(E_F): 5.5 states/eV per cell
- ΔE_f: -416 meV per atom
- Symmetry: P2_1/c, No. 14
- Raw total energy: -3.45 eV/atom

a = 7.7678 Å, b = 5.2102 Å, c = 9.4836 Å
α = 90.00°, β = 113.92°, γ = 90.00°
Element x y z (fractional)
Mg 0.2325 0.1543 0.0181
Mg 0.2325 0.3457 0.5181
Mg 0.7675 0.6543 0.4819
Mg 0.7675 0.8457 0.9819
Al 0.3359 0.6591 0.8771
Al 0.3359 0.8409 0.3771
Al 0.6641 0.1591 0.6229
Al 0.6641 0.3409 0.1229
Au 0.0513 0.1527 0.2136
Au 0.0513 0.3473 0.7136
Au 0.1706 0.6533 0.0949
Au 0.1706 0.8467 0.5949
Au 0.4471 0.1771 0.8420
Au 0.4471 0.3229 0.3420
Au 0.5529 0.6771 0.6580
Au 0.5529 0.8229 0.1580
Au 0.8294 0.1533 0.4051
Au 0.8294 0.3467 0.9051
Au 0.9487 0.6527 0.2864
Au 0.9487 0.8473 0.7864



Record 3
Entry from the Alexandria database: an optimized crystal structure of Mg2AlAu5 (PBE).

Values from the calculation:
- Volume: 280 Å³/cell
- Mass density: 12.58 Mg/m³
- D(E_F): 4.6 states/eV per cell
- ΔE_f: -466 meV per atom
- Symmetry: Pbam, No. 55
- Raw total energy: -3.38 eV/atom

a = 5.7021 Å, b = 11.1203 Å, c = 4.4154 Å
α = 90.00°, β = 90.00°, γ = 90.00°
Element x y z (fractional)
Mg 0.1635 0.1408 0.0000
Mg 0.3365 0.6408 0.0000
Mg 0.6635 0.3592 0.0000
Mg 0.8365 0.8592 0.0000
Al 0.0000 0.5000 0.5000
Al 0.5000 0.0000 0.5000
Au 0.0000 0.0000 0.5000
Au 0.0843 0.7386 0.5000
Au 0.1700 0.3966 0.0000
Au 0.3300 0.8966 0.0000
Au 0.4157 0.2386 0.5000
Au 0.5000 0.5000 0.5000
Au 0.5843 0.7614 0.5000
Au 0.6700 0.1034 0.0000
Au 0.8300 0.6034 0.0000
Au 0.9157 0.2614 0.5000



Record 4
Entry from the Alexandria database: an optimized crystal structure of MgAl3Au (PBE).

Values from the calculation:
- Volume: 182 Å³/cell
- Mass density: 5.52 Mg/m³
- D(E_F): 2.8 states/eV per cell
- ΔE_f: -222 meV per atom
- Symmetry: P2_1/m, No. 11
- Raw total energy: -3.44 eV/atom

a = 5.1734 Å, b = 5.4133 Å, c = 6.9799 Å
α = 90.00°, β = 111.41°, γ = 90.00°
Element x y z (fractional)
Mg 0.2170 0.2500 0.1413
Mg 0.7830 0.7500 0.8587
Al 0.1974 0.0040 0.6914
Al 0.1974 0.4960 0.6914
Al 0.3358 0.7500 0.4086
Al 0.6642 0.2500 0.5914
Al 0.8026 0.5040 0.3086
Al 0.8026 0.9960 0.3086
Au 0.3583 0.7500 0.0425
Au 0.6417 0.2500 0.9575



Record 5
Entry from the Alexandria database: an optimized crystal structure of MgAlAu (PBE).

Values from the calculation:
- Volume: 114 Å³/cell
- Mass density: 7.24 Mg/m³
- D(E_F): 2.4 states/eV per cell
- ΔE_f: -432 meV per atom
- Symmetry: P4/nmm, No. 129
- Raw total energy: -3.30 eV/atom

a = 4.0306 Å, b = 4.0306 Å, c = 7.0048 Å
α = 90.00°, β = 90.00°, γ = 90.00°
Element x y z (fractional)
Mg 0.2500 0.2500 0.1365
Mg 0.7500 0.7500 0.8635
Al 0.2500 0.7500 0.5000
Al 0.7500 0.2500 0.5000
Au 0.2500 0.2500 0.7407
Au 0.7500 0.7500 0.2593



Record 6
Entry from the Alexandria database: an optimized crystal structure of MgAlAu (PBE).

Values from the calculation:
- Volume: 116 Å³/cell
- Mass density: 7.08 Mg/m³
- D(E_F): 1.4 states/eV per cell
- ΔE_f: -408 meV per atom
- Symmetry: R3m, No. 160
- Raw total energy: -3.28 eV/atom

a = 7.2585 Å, b = 7.2585 Å, c = 7.2585 Å
α = 35.71°, β = 35.71°, γ = 35.71°
Element x y z (fractional)
Mg 0.0000 0.0000 0.0000
Mg 0.1532 0.1532 0.1532
Al 0.4168 0.4168 0.4168
Al 0.5789 0.5789 0.5789
Au 0.2823 0.2823 0.2823
Au 0.7470 0.7470 0.7470



Record 7
Entry from the Alexandria database: an optimized crystal structure of MgAl2Au8 (PBE).

Values from the calculation:
- Volume: 192 Å³/cell
- Mass density: 14.33 Mg/m³
- D(E_F): 2.3 states/eV per cell
- ΔE_f: -318 meV per atom
- Symmetry: C2/m, No. 12
- Raw total energy: -3.53 eV/atom

a = 7.6441 Å, b = 7.6441 Å, c = 6.6876 Å
α = 108.69°, β = 108.69°, γ = 31.33°
Element x y z (fractional)
Mg 0.0000 0.0000 0.0000
Al 0.2850 0.2850 0.3393
Al 0.7150 0.7150 0.6607
Au 0.1066 0.1066 0.4647
Au 0.1764 0.1764 0.9284
Au 0.3464 0.3464 0.7784
Au 0.4601 0.4601 0.2671
Au 0.5399 0.5399 0.7329
Au 0.6536 0.6536 0.2216
Au 0.8236 0.8236 0.0716
Au 0.8934 0.8934 0.5353



Record 8
Entry from the Alexandria database: an optimized crystal structure of MgAlAu (PBE).

Values from the calculation:
- Volume: 61 Å³/cell
- Mass density: 6.77 Mg/m³
- D(E_F): 2.5 states/eV per cell
- ΔE_f: -417 meV per atom
- Symmetry: F-43m, No. 216
- Raw total energy: -3.29 eV/atom

a = 4.4161 Å, b = 4.4161 Å, c = 4.4161 Å
α = 60.00°, β = 60.00°, γ = 60.00°
Element x y z (fractional)
Mg 0.0000 0.0000 0.0000
Al 0.5000 0.5000 0.5000
Au 0.2500 0.2500 0.2500



Among the records above, which one has the lowest volume? number 8



The lowest ΔE_f belongs to which entry? Mg2AlAu5